DFT (GGA-PBE) results for K5NaO3 after structural relaxation.

Geometry as POSCAR:
```
K5NaO3
1.0
-4.4030 -4.4666 3.8252
5.3566 -4.1989 -2.7649
6.7490 5.7890 4.8731
K Na O
10 2 6
direct
0.7204 0.0021 0.3535 K
0.6967 0.6967 0.0000 K
0.8212 0.2278 0.0491 K
0.8129 0.5473 0.3602 K
0.1870 0.4527 0.6398 K
0.1788 0.7722 0.9509 K
0.3514 0.6331 0.3535 K
0.3033 0.3033 0.0000 K
0.2796 0.9979 0.6465 K
0.6486 0.3669 0.6465 K
0.7965 0.9103 0.7067 Na
0.2035 0.0897 0.2933 Na
0.5010 0.3390 0.8401 O
0.0560 0.3035 0.3595 O
0.0000 0.0000 0.0000 O
0.5000 0.0000 0.5000 O
0.4990 0.6610 0.1599 O
0.9440 0.6965 0.6405 O
```

Calculated values
total moment	0.2	μB per formula unit
E_form (uncorrected)	-1.004	eV per atom
space group	No. 12
volume	446.6	Å³ per cell